1.
CsSr3Te: optimized geometry, PBE.

a b c (Å): 6.676 6.676 6.676
angles (deg): 90.00 90.00 90.00
Element x y z (fractional)
Cs1 0.000 0.000 0.000
Sr1 0.000 0.500 0.500
Sr2 0.500 0.000 0.500
Sr3 0.500 0.500 0.000
Te1 0.500 0.500 0.500

Values from the calculation:
* relative energy among the computed polymorphs: 0.0 meV/atom
* total magnetization: 0.0 μB per cell
* formation energy (no corrections): -38 kJ/mol of atoms


2.
Ba2NaMgHg6: optimized geometry, PBE.

a b c (Å): 7.769 7.769 7.769
angles (deg): 60.00 60.00 60.00
Element x y z (fractional)
Ba1 0.250 0.250 0.250
Ba2 0.750 0.750 0.750
Na1 0.000 0.000 0.000
Mg1 0.500 0.500 0.500
Hg1 0.253 0.253 0.747
Hg2 0.253 0.747 0.253
Hg3 0.253 0.747 0.747
Hg4 0.747 0.253 0.253
Hg5 0.747 0.253 0.747
Hg6 0.747 0.747 0.253

Values from the calculation:
* formation enthalpy at 0 K: -210 meV/atom
* total magnetization: 0.0 μB per cell


3.
Tc3BPd: optimized geometry, PBE.

a b c (Å): 4.799 4.799 4.799
angles (deg): 90.00 90.00 90.00
Element x y z (fractional)
Tc1 0.000 0.000 0.500
Tc2 0.000 0.500 0.000
Tc3 0.500 0.000 0.000
B1 0.500 0.500 0.500
Pd1 0.000 0.000 0.000

Values from the calculation:
* relative energy among the computed polymorphs: 2734.1 meV/atom
* formation enthalpy at 0 K: 2932 meV/atom
* total magnetization: 8.0 μB per cell


4.
NaSr2Tl: optimized geometry, PBE.

a b c (Å): 7.731 7.731 7.731
angles (deg): 104.19 104.19 120.64
Element x y z (fractional)
Na1 0.000 0.000 0.000
Na2 0.750 0.250 0.500
Sr1 0.154 0.125 0.529
Sr2 0.375 0.846 0.971
Sr3 0.596 0.625 0.471
Sr4 0.875 0.404 0.029
Tl1 0.250 0.750 0.500
Tl2 0.500 0.500 0.000

Values from the calculation:
* relative energy among the computed polymorphs: 234.7 meV/atom
* formation enthalpy at 0 K: 6 meV/atom
* total magnetization: 0.0 μB per cell


- Which value of total magnetization does entry 3 give?
  8.0 μB per cell